Here is a geometry-optimized TlW2O structure from Alexandria via LeMat-Bulk. Energies are from PBE+U.

a = 5.5350 Å, b = 5.5350 Å, c = 7.4702 Å
α = 68.26°, β = 68.26°, γ = 90.00°
Last column: nearest neighbours and their distance in Å.
Fractional coordinates of all 8 atoms:
Tl 0.0000 0.0000 0.0000  4 W 3.27
W 0.4223 0.1250 0.2500  2 O 2.12
O 0.5000 0.5000 0.0000  4 W 2.12
W 0.3277 0.6250 0.2500  2 O 2.12
O 0.2500 0.7500 0.5000  4 W 2.12
Tl 0.7500 0.2500 0.5000  4 W 3.27
W 0.8750 0.6723 0.7500  2 O 2.12
W 0.3750 0.5777 0.7500  2 O 2.12

Results
- Magnetization: 12.5 μB per cell
- Polymorph energy (0 for the lowest one): 0 meV/atom